[1]
## Sm3V5O12 (GGA+U)

Data for Sm3V5O12 after structural relaxation.

Calculated values
E_tot: -645.87 eV per cell
total magnetic moment: 10.000 μB per formula unit

Unit cell a=11.038 b=11.038 c=11.038 alpha=109.47 beta=109.47 gamma=109.47
Element x y z (fractional)
Sm1 0.125 0.250 0.375
Sm2 0.125 0.375 0.750
Sm3 0.250 0.375 0.125
Sm4 0.250 0.875 0.625
Sm5 0.375 0.125 0.250
Sm6 0.375 0.750 0.125
Sm7 0.625 0.250 0.875
Sm8 0.625 0.875 0.750
Sm9 0.750 0.125 0.375
Sm10 0.750 0.625 0.875
Sm11 0.875 0.625 0.250
Sm12 0.875 0.750 0.625
V1 0.000 0.000 0.000
V2 0.000 0.000 0.500
V3 0.000 0.500 0.000
V4 0.000 0.500 0.500
V5 0.125 0.750 0.875
V6 0.125 0.875 0.250
V7 0.250 0.125 0.875
V8 0.250 0.625 0.375
V9 0.375 0.250 0.625
V10 0.375 0.625 0.750
V11 0.500 0.000 0.000
V12 0.500 0.000 0.500
V13 0.500 0.500 0.000
V14 0.500 0.500 0.500
V15 0.625 0.375 0.250
V16 0.625 0.750 0.375
V17 0.750 0.375 0.625
V18 0.750 0.875 0.125
V19 0.875 0.125 0.750
V20 0.875 0.250 0.125
O1 0.028 0.208 0.124
O2 0.028 0.320 0.904
O3 0.084 0.708 0.680
O4 0.084 0.876 0.404
O5 0.096 0.624 0.416
O6 0.096 0.972 0.680
O7 0.124 0.028 0.208
O8 0.124 0.596 0.916
O9 0.180 0.208 0.584
O10 0.180 0.472 0.596
O11 0.208 0.124 0.028
O12 0.208 0.584 0.180
O13 0.292 0.320 0.916
O14 0.292 0.472 0.376
O15 0.320 0.904 0.028
O16 0.320 0.916 0.292
O17 0.376 0.292 0.472
O18 0.376 0.584 0.904
O19 0.404 0.084 0.876
O20 0.404 0.820 0.528
O21 0.416 0.096 0.624
O22 0.416 0.820 0.792
O23 0.472 0.376 0.292
O24 0.472 0.596 0.180
O25 0.528 0.404 0.820
O26 0.528 0.624 0.708
O27 0.584 0.180 0.208
O28 0.584 0.904 0.376
O29 0.596 0.180 0.472
O30 0.596 0.916 0.124
O31 0.624 0.416 0.096
O32 0.624 0.708 0.528
O33 0.680 0.084 0.708
O34 0.680 0.096 0.972
O35 0.708 0.528 0.624
O36 0.708 0.680 0.084
O37 0.792 0.416 0.820
O38 0.792 0.876 0.972
O39 0.820 0.528 0.404
O40 0.820 0.792 0.416
O41 0.876 0.404 0.084
O42 0.876 0.972 0.792
O43 0.904 0.028 0.320
O44 0.904 0.376 0.584
O45 0.916 0.124 0.596
O46 0.916 0.292 0.320
O47 0.972 0.680 0.096
O48 0.972 0.792 0.876


[2]
## SmVO5 (GGA+U)

Data for SmVO5 after structural relaxation.

Calculated values
E_tot: -100.23 eV per cell
total magnetic moment: 2.003 μB per formula unit

Unit cell a=5.551 b=5.551 c=7.572 alpha=108.89 beta=108.89 gamma=70.85
Element x y z (fractional)
Sm1 0.060 0.940 0.750
Sm2 0.940 0.060 0.250
V1 0.500 0.500 0.000
V2 0.500 0.500 0.500
O1 0.205 0.776 0.036
O2 0.224 0.795 0.464
O3 0.254 0.306 0.393
O4 0.306 0.254 0.893
O5 0.435 0.565 0.750
O6 0.565 0.435 0.250
O7 0.694 0.746 0.107
O8 0.746 0.694 0.607
O9 0.776 0.205 0.536
O10 0.795 0.224 0.964


[3]
## SmV2WO8 (GGA+U)

Data for SmV2WO8 after structural relaxation.

Calculated values
E_tot: -93.54 eV per cell
total magnetic moment: 3.000 μB per formula unit

Unit cell a=4.755 b=4.755 c=6.504 alpha=90.00 beta=90.00 gamma=91.69
Element x y z (fractional)
Sm1 0.000 0.000 0.000
V1 0.500 0.500 0.247
V2 0.500 0.500 0.753
W1 0.000 0.000 0.500
O1 0.205 0.205 0.287
O2 0.205 0.205 0.713
O3 0.292 0.708 0.500
O4 0.329 0.671 0.000
O5 0.671 0.329 0.000
O6 0.708 0.292 0.500
O7 0.795 0.795 0.287
O8 0.795 0.795 0.713


[4]
## SmWO4 (GGA+U)

Data for SmWO4 after structural relaxation.

Calculated values
E_tot: -187.66 eV per cell
total magnetic moment: 1.000 μB per formula unit

Unit cell a=6.237 b=3.373 c=16.999 alpha=90.00 beta=90.00 gamma=90.00
Element x y z (fractional)
Sm1 0.186 0.250 0.175
Sm2 0.314 0.750 0.675
Sm3 0.686 0.250 0.325
Sm4 0.814 0.750 0.825
W1 0.218 0.750 0.383
W2 0.282 0.250 0.883
W3 0.718 0.750 0.117
W4 0.782 0.250 0.617
O1 0.024 0.750 0.104
O2 0.056 0.250 0.671
O3 0.156 0.250 0.444
O4 0.200 0.750 0.804
O5 0.300 0.250 0.304
O6 0.344 0.750 0.944
O7 0.444 0.750 0.171
O8 0.476 0.250 0.604
O9 0.524 0.750 0.396
O10 0.556 0.250 0.829
O11 0.656 0.250 0.056
O12 0.700 0.750 0.696
O13 0.800 0.250 0.196
O14 0.844 0.750 0.556
O15 0.944 0.750 0.329
O16 0.976 0.250 0.896